Entry 1:
VASP calculation (meta-GGA SCAN) on a PBEsol-optimized structure of NaPHS2.

a b c (Å): 4.848 4.848 3.070
angles (deg): 90.00 90.00 90.00
Space group P4/mmm (No. 123)
One atom of each set of equivalent atoms:
Na  0.000  0.000  0.000 [1 per cell]
P  0.500  0.500  0.000 [1 per cell]
H  0.500  0.500  0.500 [1 per cell]
S  0.000  0.500  0.500 [2 per cell]

calculated total energy	-7.16	eV per atom


Entry 2:
VASP calculation (meta-GGA SCAN) on a PBEsol-optimized structure of SrCa2Cl.

a b c (Å): 4.703 4.703 13.677
angles (deg): 90.00 90.00 90.00
Space group I4/mmm (No. 139)
One atom of each set of equivalent atoms:
Sr  0.000  0.000  0.000 [2 per cell]
Ca  0.000  0.500  0.250 [4 per cell]
Cl  0.000  0.000  0.500 [2 per cell]

raw formation energy	-187.8	kJ/mol of formula units
excess energy over the best structure of this formula in the dataset	351	meV/atom


Entry 3:
VASP calculation (meta-GGA SCAN) on a PBEsol-optimized structure of Cs2Rb2Hg.

a b c (Å): 9.799 9.799 7.932
angles (deg): 90.00 90.00 90.00
Space group P4/mbm (No. 127)
One atom of each set of equivalent atoms:
Cs  0.163  0.337  0.000 [4 per cell]
Rb  0.179  0.679  0.500 [4 per cell]
Hg  0.000  0.000  0.000 [2 per cell]

DFT formation energy	-0.02	eV per atom


Entry 4:
VASP calculation (meta-GGA SCAN) on a PBEsol-optimized structure of SrBeCr2.

a b c (Å): 6.541 6.541 6.541
angles (deg): 90.00 90.00 90.00
Space group F-43m (No. 216)
One atom of each set of equivalent atoms:
Sr  0.000  0.000  0.000 [4 per cell]
Be  0.250  0.250  0.250 [4 per cell]
Cr  0.000  0.000  0.500 [4 per cell]
Cr  0.250  0.250  0.750 [4 per cell]

DFT formation energy	0.64	eV per atom


Entry 5:
VASP calculation (meta-GGA SCAN) on a PBEsol-optimized structure of CrRe2Hg.

a b c (Å): 9.140 2.840 4.774
angles (deg): 90.00 101.22 90.00
Space group Cm (No. 8)
One atom of each set of equivalent atoms:
Cr  0.000  0.000  0.000 [2 per cell]
Re  0.236  0.500  0.208 [2 per cell]
Re  0.480  0.000  0.407 [2 per cell]
Hg  0.242  0.000  0.714 [2 per cell]

DFT formation energy	0.58	eV per atom


Entry 6:
VASP calculation (meta-GGA SCAN) on a PBEsol-optimized structure of BaCuCl2.

a b c (Å): 4.150 4.150 5.930
angles (deg): 90.00 90.00 90.00
Space group P4mm (No. 99)
One atom of each set of equivalent atoms:
Ba  0.000  0.000  0.000 [1 per cell]
Cu  0.500  0.500  0.600 [1 per cell]
Cl  0.000  0.000  0.515 [1 per cell]
Cl  0.500  0.500  0.197 [1 per cell]

raw formation energy	-451.9	kJ/mol of formula units


Entry 7:
VASP calculation (meta-GGA SCAN) on a PBEsol-optimized structure of KSb2P.

a b c (Å): 4.697 4.697 8.947
angles (deg): 90.00 90.00 90.00
Space group I-4m2 (No. 119)
One atom of each set of equivalent atoms:
K  0.000  0.000  0.000 [2 per cell]
Sb  0.000  0.000  0.500 [2 per cell]
Sb  0.000  0.500  0.750 [2 per cell]
P  0.000  0.500  0.250 [2 per cell]

raw formation energy	93.0	kJ/mol of formula units


Entry 8:
VASP calculation (meta-GGA SCAN) on a PBEsol-optimized structure of K2ScPCO7.

a b c (Å): 5.639 6.818 9.765
angles (deg): 90.00 90.63 90.00
Space group P2_1/m (No. 11)
One atom of each set of equivalent atoms:
K  0.250  0.019  0.228 [4 per cell]
Sc  0.285  0.250  0.633 [2 per cell]
P  0.223  0.750  0.564 [2 per cell]
C  0.237  0.250  0.895 [2 per cell]
O  0.049  0.250  0.471 [2 per cell]
O  0.059  0.250  0.805 [2 per cell]
O  0.207  0.250  0.021 [2 per cell]
O  0.283  0.563  0.646 [4 per cell]
O  0.366  0.750  0.429 [2 per cell]
O  0.445  0.250  0.836 [2 per cell]

raw formation energy	-2978.7	kJ/mol of formula units


no.,magnetization (Bohr magnetons per cell)
1,0.00
2,0.00
3,0.00
4,2.49
5,0.01
6,0.00
7,0.00
8,0.13